Entry 1:
{
  "formula": "K3TiBi3Se8",
  "functional": "PBE-GGA",
  "state": "relaxed",
  "cell": [[7.224, -4.174, 0.000], [7.224, 4.174, 0.000], [-4.814, 0.000, 7.915]],
  "species": ["K", "K", "K", "Ti", "Bi", "Bi", "Bi", "Se", "Se", "Se", "Se", "Se", "Se", "Se", "Se"],
  "frac_coords": [[0.000, 0.000, 0.000], [0.000, 0.500, 0.000], [0.500, 0.000, 0.000], [0.000, 0.000, 0.500], [0.000, 0.500, 0.500], [0.500, 0.000, 0.500], [0.500, 0.500, 0.500], [0.213, 0.213, 0.691], [0.213, 0.765, 0.691], [0.235, 0.787, 0.309], [0.261, 0.261, 0.284], [0.739, 0.739, 0.716], [0.765, 0.213, 0.691], [0.787, 0.235, 0.309], [0.787, 0.787, 0.309]],
  "sg": "C2/m, No. 12",
  "magmom_total_mub_per_atom": 0.000,
  "formation_energy_uncorrected_ev_per_atom": -0.8470,
  "rho_g_cm3": 5.0
}

---

Entry 2:
{
  "formula": "AgGe2Te",
  "functional": "PBE-GGA",
  "state": "relaxed",
  "cell": [[6.237, 0.000, 0.000], [0.000, 6.237, 0.000], [0.000, 0.000, 12.082]],
  "species": ["Ag", "Ag", "Ag", "Ag", "Ge", "Ge", "Ge", "Ge", "Ge", "Ge", "Ge", "Ge", "Te", "Te", "Te", "Te"],
  "frac_coords": [[0.000, 0.000, 0.000], [0.000, 0.500, 0.250], [0.500, 0.000, 0.750], [0.500, 0.500, 0.500], [0.218, 0.250, 0.125], [0.250, 0.718, 0.375], [0.250, 0.782, 0.875], [0.282, 0.250, 0.625], [0.718, 0.750, 0.625], [0.750, 0.218, 0.875], [0.750, 0.282, 0.375], [0.782, 0.750, 0.125], [0.000, 0.000, 0.500], [0.000, 0.500, 0.750], [0.500, 0.000, 0.250], [0.500, 0.500, 0.000]],
  "sg": "I-42d, No. 122",
  "magmom_total_mub_per_atom": 0.000,
  "formation_energy_uncorrected_ev_per_atom": 0.2528,
  "rho_g_cm3": 5.4
}

---

Entry 3:
{
  "formula": "AlCd2P",
  "functional": "PBE-GGA",
  "state": "relaxed",
  "cell": [[3.028, 0.000, 0.000], [-1.514, 2.623, 0.000], [0.000, 0.000, 29.429]],
  "species": ["Al", "Al", "Al", "Cd", "Cd", "Cd", "Cd", "Cd", "Cd", "P", "P", "P"],
  "frac_coords": [[0.000, 0.000, 0.000], [0.333, 0.667, 0.667], [0.667, 0.333, 0.333], [0.000, 0.000, 0.249], [0.000, 0.000, 0.751], [0.333, 0.667, 0.418], [0.333, 0.667, 0.916], [0.667, 0.333, 0.084], [0.667, 0.333, 0.582], [0.000, 0.000, 0.500], [0.333, 0.667, 0.167], [0.667, 0.333, 0.833]],
  "sg": "R-3m, No. 166",
  "magmom_total_mub_per_atom": 0.000,
  "e_form_kj_per_mol_fu": 113,
  "rho_g_cm3": 6.0
}

---

Entry 4:
{
  "formula": "LiZnGa2Pd",
  "functional": "PBE-GGA",
  "state": "relaxed",
  "cell": [[2.116, -4.917, 0.000], [2.116, 4.917, 0.000], [0.000, 0.000, 7.784]],
  "species": ["Li", "Li", "Zn", "Zn", "Ga", "Ga", "Ga", "Ga", "Pd", "Pd"],
  "frac_coords": [[0.046, 0.954, 0.750], [0.954, 0.046, 0.250], [0.500, 0.500, 0.000], [0.500, 0.500, 0.500], [0.179, 0.821, 0.057], [0.179, 0.821, 0.443], [0.821, 0.179, 0.557], [0.821, 0.179, 0.943], [0.324, 0.676, 0.750], [0.676, 0.324, 0.250]],
  "sg": "Cmcm, No. 63",
  "magmom_total_mub_per_atom": 0.000,
  "e_form_kj_per_mol_fu": -171,
  "rho_g_cm3": 6.5
}

---

Entry 5:
{
  "formula": "TbEuCd4",
  "functional": "PBE-GGA",
  "state": "relaxed",
  "cell": [[0.000, 4.242, 4.242], [4.242, 0.000, 4.242], [4.242, 4.242, 0.000]],
  "species": ["Tb", "Eu", "Cd", "Cd", "Cd", "Cd"],
  "frac_coords": [[0.000, 0.000, 0.000], [0.250, 0.250, 0.250], [0.124, 0.625, 0.625], [0.625, 0.124, 0.625], [0.625, 0.625, 0.124], [0.625, 0.625, 0.625]],
  "sg": "F-43m, No. 216",
  "magmom_total_mub_per_atom": 1.184,
  "e_form_kj_per_mol_fu": -158,
  "rho_g_cm3": 8.3
}

---

Entry 6:
{
  "formula": "CoMo5",
  "functional": "PBE-GGA",
  "state": "relaxed",
  "cell": [[10.510, 0.000, 0.000], [0.000, 2.637, 0.000], [-1.771, 0.000, 6.574]],
  "species": ["Co", "Co", "Mo", "Mo", "Mo", "Mo", "Mo", "Mo", "Mo", "Mo", "Mo", "Mo"],
  "frac_coords": [[0.000, 0.000, 0.000], [0.500, 0.500, 0.000], [0.059, 0.000, 0.623], [0.167, 0.500, 0.320], [0.217, 0.500, 0.960], [0.336, 0.000, 0.682], [0.404, 0.000, 0.270], [0.559, 0.500, 0.623], [0.667, 0.000, 0.320], [0.717, 0.000, 0.960], [0.836, 0.500, 0.682], [0.904, 0.500, 0.270]],
  "sg": "Cm, No. 8",
  "magmom_total_mub_per_atom": 0.000,
  "e_form_kj_per_mol_fu": 162,
  "rho_g_cm3": 9.8
}

---

Entry 7:
{
  "formula": "USbAs",
  "functional": "PBE-GGA",
  "state": "relaxed",
  "cell": [[4.143, 0.000, 0.000], [0.000, 4.143, 0.000], [0.000, 0.000, 8.363]],
  "species": ["U", "U", "Sb", "Sb", "As", "As"],
  "frac_coords": [[0.250, 0.250, 0.198], [0.750, 0.750, 0.802], [0.250, 0.750, 0.500], [0.750, 0.250, 0.500], [0.250, 0.250, 0.855], [0.750, 0.750, 0.145]],
  "sg": "P4/nmm, No. 129",
  "magmom_total_mub_per_atom": 0.612,
  "formation_energy_uncorrected_ev_per_atom": -0.5085,
  "rho_g_cm3": 10.1
}

---

Entry 8:
{
  "formula": "Si2IrSe",
  "functional": "PBE-GGA",
  "state": "relaxed",
  "cell": [[7.360, 0.000, 0.000], [0.000, 3.408, 0.000], [-2.265, 0.000, 5.503]],
  "species": ["Si", "Si", "Si", "Si", "Ir", "Ir", "Se", "Se"],
  "frac_coords": [[0.000, 0.000, 0.000], [0.214, 0.000, 0.801], [0.500, 0.500, 0.000], [0.714, 0.500, 0.801], [0.253, 0.500, 0.174], [0.753, 0.000, 0.174], [0.056, 0.500, 0.449], [0.556, 0.000, 0.449]],
  "sg": "Cm, No. 8",
  "magmom_total_mub_per_atom": 0.000,
  "formation_energy_uncorrected_ev_per_atom": 0.0157,
  "rho_g_cm3": 7.9
}

---

Entry 9:
{
  "formula": "BePt",
  "functional": "PBE-GGA",
  "state": "relaxed",
  "cell": [[3.470, 0.000, 0.000], [-1.735, 3.005, 0.000], [0.000, 0.000, 9.478]],
  "species": ["Be", "Be", "Be", "Be", "Pt", "Pt", "Pt", "Pt"],
  "frac_coords": [[0.000, 0.000, 0.250], [0.000, 0.000, 0.750], [0.333, 0.667, 0.250], [0.667, 0.333, 0.750], [0.333, 0.667, 0.608], [0.333, 0.667, 0.892], [0.667, 0.333, 0.108], [0.667, 0.333, 0.392]],
  "sg": "P6_3/mmc, No. 194",
  "magmom_total_mub_per_atom": 0.000,
  "e_form_kj_per_mol_fu": -80,
  "rho_g_cm3": 13.7
}

---

Entry 10:
{
  "formula": "Ce2Mn2C2N",
  "functional": "PBE-GGA",
  "state": "relaxed",
  "cell": [[10.157, 0.000, 0.000], [0.000, 3.372, 0.000], [-3.314, 0.000, 5.280]],
  "species": ["Ce", "Ce", "Ce", "Ce", "Mn", "Mn", "Mn", "Mn", "C", "C", "C", "C", "N", "N"],
  "frac_coords": [[0.068, 0.000, 0.337], [0.432, 0.500, 0.663], [0.568, 0.500, 0.337], [0.932, 0.000, 0.663], [0.203, 0.500, 0.086], [0.297, 0.000, 0.914], [0.703, 0.000, 0.086], [0.797, 0.500, 0.914], [0.194, 0.500, 0.754], [0.306, 0.000, 0.246], [0.694, 0.000, 0.754], [0.806, 0.500, 0.246], [0.000, 0.500, 0.000], [0.500, 0.000, 0.000]],
  "sg": "C2/m, No. 12",
  "magmom_total_mub_per_atom": 0.000,
  "formation_energy_uncorrected_ev_per_atom": -0.5199,
  "rho_g_cm3": 7.9
}